{
  "formula": "Rb2BAuBr6",
  "functional": "PBE",
  "state": "optimized geometry",
  "density_g_cm3": 4.23,
  "formation_energy_uncorrected_ev_per_atom": -0.65,
  "n_ef_per_ev_atom": 0.00,
  "e_tot_ev_per_cell": -28.42,
  "cell": [[-1.9700, -6.5998, 3.3262], [2.0364, -3.7938, -6.3215], [5.3845, -5.7561, 0.5619]],
  "species": ["B", "Au", "Br", "Br", "Br", "Br", "Br", "Br", "Rb", "Rb"],
  "frac_coords": [[0.5000, 0.5000, 0.0000], [0.0000, 0.0000, 0.0000], [0.2130, 0.2130, 0.5740], [0.7870, 0.7870, 0.4260], [0.2981, 0.2981, 0.0000], [0.7019, 0.7019, 0.0000], [0.7019, 0.2981, 0.0000], [0.2981, 0.7019, 0.0000], [0.7500, 0.2500, 0.5000], [0.2500, 0.7500, 0.5000]]
}


{
  "formula": "RbB2AuBr8",
  "functional": "PBE",
  "state": "optimized geometry",
  "density_g_cm3": 4.28,
  "formation_energy_uncorrected_ev_per_atom": -0.57,
  "n_ef_per_ev_atom": 0.00,
  "e_tot_ev_per_cell": -37.79,
  "cell": [[6.5368, 0.0000, 0.0000], [3.2684, 5.6611, 0.0000], [3.2684, 1.8870, 9.8798]],
  "species": ["Rb", "B", "B", "Au", "Br", "Br", "Br", "Br", "Br", "Br", "Br", "Br"],
  "frac_coords": [[0.5000, 0.5000, 0.5000], [0.2522, 0.2522, 0.2435], [0.7478, 0.7478, 0.7565], [0.0000, 0.0000, 0.0000], [0.1836, 0.1836, 0.4493], [0.5664, 0.2814, 0.1781], [0.8164, 0.8164, 0.5507], [0.9741, 0.5664, 0.1781], [0.0259, 0.4336, 0.8219], [0.2814, 0.9741, 0.1781], [0.7186, 0.0259, 0.8219], [0.4336, 0.7186, 0.8219]]
}


{
  "formula": "B2RhAuBr",
  "functional": "PBE",
  "state": "optimized geometry",
  "density_g_cm3": 5.72,
  "formation_energy_uncorrected_ev_per_atom": 1.39,
  "n_ef_per_ev_atom": 0.88,
  "e_tot_ev_per_cell": -18.73,
  "cell": [[3.9884, 0.0000, 0.0000], [0.0000, 7.3318, 0.0000], [0.0000, 0.0000, 3.9884]],
  "species": ["Rh", "B", "B", "Au", "Br"],
  "frac_coords": [[0.5000, 0.5000, 0.5000], [0.0000, 0.0000, 0.5000], [0.5000, 0.0000, 0.0000], [0.0000, 0.0000, 0.0000], [0.0000, 0.5000, 0.0000]]
}


{
  "formula": "BAuSe2Br",
  "functional": "PBE",
  "state": "optimized geometry",
  "density_g_cm3": 7.72,
  "formation_energy_uncorrected_ev_per_atom": 0.85,
  "n_ef_per_ev_atom": 1.18,
  "e_tot_ev_per_cell": -14.33,
  "relative_energy_ev_per_atom": 0.000,
  "cell": [[-1.4365, 4.0061, -1.6988], [-4.1979, -1.7468, -0.5698], [-1.1406, 1.3715, 4.1989]],
  "species": ["B", "Au", "Se", "Se", "Br"],
  "frac_coords": [[0.0000, 0.0000, 0.0000], [0.5000, 0.5000, 0.5000], [0.0000, 0.5000, 0.0000], [0.5000, 0.0000, 0.0000], [0.0000, 0.0000, 0.5000]]
}


{
  "formula": "BAuSeBr2",
  "functional": "PBE",
  "state": "optimized geometry",
  "density_g_cm3": 7.20,
  "formation_energy_uncorrected_ev_per_atom": 0.80,
  "n_ef_per_ev_atom": 0.63,
  "e_tot_ev_per_cell": -12.77,
  "relative_energy_ev_per_atom": 0.000,
  "cell": [[-3.9554, 0.2238, -1.9691], [-0.6247, -4.3125, 0.7648], [-2.2361, 1.1435, 4.6218]],
  "species": ["B", "Au", "Se", "Br", "Br"],
  "frac_coords": [[0.0000, 0.0000, 0.0000], [0.5000, 0.5000, 0.5000], [0.0000, 0.0000, 0.5000], [0.0000, 0.5000, 0.0000], [0.5000, 0.0000, 0.0000]]
}


{
  "formula": "BAuSe2Br",
  "functional": "PBE",
  "state": "optimized geometry",
  "density_g_cm3": 5.37,
  "formation_energy_uncorrected_ev_per_atom": 1.31,
  "n_ef_per_ev_atom": 1.07,
  "e_tot_ev_per_cell": -12.03,
  "relative_energy_ev_per_atom": 0.460,
  "cell": [[-2.8440, 4.2116, -0.3693], [-3.1716, -1.8311, 3.5426], [2.9103, 2.2979, 3.7934]],
  "species": ["B", "Au", "Se", "Se", "Br"],
  "frac_coords": [[0.5000, 0.5000, 0.5000], [0.0000, 0.0000, 0.0000], [0.0000, 0.5000, 0.0000], [0.5000, 0.0000, 0.0000], [0.0000, 0.0000, 0.5000]]
}


{
  "formula": "BAuSeBr2",
  "functional": "PBE",
  "state": "optimized geometry",
  "density_g_cm3": 5.18,
  "formation_energy_uncorrected_ev_per_atom": 1.14,
  "n_ef_per_ev_atom": 0.94,
  "e_tot_ev_per_cell": -11.09,
  "relative_energy_ev_per_atom": 0.337,
  "cell": [[5.2612, 0.0000, 0.0000], [0.0000, 5.2612, 0.0000], [0.0000, 0.0000, 5.1742]],
  "species": ["B", "Au", "Se", "Br", "Br"],
  "frac_coords": [[0.5000, 0.5000, 0.5000], [0.0000, 0.0000, 0.0000], [0.0000, 0.0000, 0.5000], [0.0000, 0.5000, 0.0000], [0.5000, 0.0000, 0.0000]]
}


{
  "formula": "SrB2AuBr",
  "functional": "PBE",
  "state": "optimized geometry",
  "density_g_cm3": 5.24,
  "formation_energy_uncorrected_ev_per_atom": 0.33,
  "n_ef_per_ev_atom": 0.47,
  "e_tot_ev_per_cell": -18.35,
  "cell": [[4.1713, 0.0000, 0.0000], [0.0000, 7.0290, 0.0000], [0.0000, 0.0000, 4.1713]],
  "species": ["Sr", "B", "B", "Au", "Br"],
  "frac_coords": [[0.5000, 0.5000, 0.5000], [0.0000, 0.0000, 0.5000], [0.5000, 0.0000, 0.0000], [0.0000, 0.0000, 0.0000], [0.0000, 0.5000, 0.0000]]
}


{
  "formula": "BAuC",
  "functional": "PBE",
  "state": "optimized geometry",
  "density_g_cm3": 10.64,
  "formation_enthalpy_0k_mev_per_atom": 1048,
  "n_ef_per_ev_atom": 0.22,
  "e_tot_ev_per_cell": -64.14,
  "cell": [[8.7742, 0.0000, 0.0000], [0.0000, 3.0727, 0.0000], [0.0000, 0.0000, 5.0916]],
  "species": ["C", "C", "C", "C", "B", "B", "B", "B", "Au", "Au", "Au", "Au"],
  "frac_coords": [[0.3001, 0.2500, 0.8400], [0.1999, 0.7500, 0.3400], [0.6999, 0.7500, 0.1600], [0.8001, 0.2500, 0.6600], [0.9559, 0.2500, 0.5307], [0.5441, 0.7500, 0.0307], [0.0441, 0.7500, 0.4693], [0.4559, 0.2500, 0.9693], [0.8654, 0.2500, 0.0810], [0.6346, 0.7500, 0.5810], [0.1346, 0.7500, 0.9190], [0.3654, 0.2500, 0.4190]]
}


{
  "formula": "BAuC",
  "functional": "PBE",
  "state": "optimized geometry",
  "density_g_cm3": 9.42,
  "formation_enthalpy_0k_mev_per_atom": 344,
  "n_ef_per_ev_atom": 0.22,
  "e_tot_ev_per_cell": -72.59,
  "cell": [[-2.3866, 6.2868, 10.3648], [2.2170, -1.1153, 1.1870], [2.5507, 3.4611, -1.5120]],
  "species": ["C", "C", "C", "C", "B", "B", "B", "B", "Au", "Au", "Au", "Au"],
  "frac_coords": [[0.2683, 0.2500, 0.8529], [0.2317, 0.7500, 0.3529], [0.7317, 0.7500, 0.1471], [0.7683, 0.2500, 0.6471], [0.7396, 0.2500, 0.9887], [0.7604, 0.7500, 0.4887], [0.2604, 0.7500, 0.0113], [0.2396, 0.2500, 0.5113], [0.9422, 0.2500, 0.7696], [0.5578, 0.7500, 0.2696], [0.0578, 0.7500, 0.2304], [0.4422, 0.2500, 0.7304]]
}


{
  "formula": "BAuC",
  "functional": "PBE",
  "state": "optimized geometry",
  "density_g_cm3": 6.75,
  "formation_enthalpy_0k_mev_per_atom": 635,
  "n_ef_per_ev_atom": 0.16,
  "e_tot_ev_per_cell": -34.55,
  "cell": [[-2.9949, -2.2278, 4.1746], [-4.5556, -3.5129, -1.1581], [3.6205, -2.0058, 1.6262]],
  "species": ["C", "C", "B", "B", "Au", "Au"],
  "frac_coords": [[0.8478, 0.0870, 0.9239], [0.3088, 0.1546, 0.1012], [0.5834, 0.1117, 0.9630], [0.0796, 0.1233, 0.9692], [0.0350, 0.6399, 0.4846], [0.3721, 0.0480, 0.5086]]
}


{
  "formula": "BAuC",
  "functional": "PBE",
  "state": "optimized geometry",
  "density_g_cm3": 7.24,
  "formation_enthalpy_0k_mev_per_atom": 655,
  "n_ef_per_ev_atom": 0.11,
  "e_tot_ev_per_cell": -34.43,
  "cell": [[3.3309, -0.0164, 0.0287], [1.7977, 5.6637, 0.0349], [1.4534, -2.2717, 5.3405]],
  "species": ["C", "C", "B", "B", "Au", "Au"],
  "frac_coords": [[0.2786, 0.5052, 0.1073], [0.1050, 0.7501, 0.2314], [0.6601, 0.0079, 0.3540], [0.1616, 0.0023, 0.3647], [0.8835, 0.2715, 0.1840], [0.6034, 0.2432, 0.7350]]
}